(1)
19
Lattice="-4.399 2.540 4.316 0.000 5.079 -4.316 -4.399 -2.540 -4.316" Properties=species:S:1:pos:R:3 comment="Gd2Zn14Co3, optimized geometry, DFT PBE" formation_enthalpy_0k_mev_per_atom=-239 magnetic_moment_mub_per_fu=0.37 pbc="T T T"
Co -2.199 1.270 2.158
Co 0.000 2.540 -2.158
Co -2.199 -1.270 -2.158
Gd -4.399 2.540 -0.010
Gd -4.399 2.540 -4.306
Zn -1.288 2.231 0.000
Zn -3.111 5.388 0.000
Zn -4.399 2.540 2.945
Zn -2.176 3.823 -1.959
Zn -1.288 2.848 -4.316
Zn -2.576 0.000 0.000
Zn -4.399 5.107 -2.357
Zn -2.176 1.256 -2.357
Zn -6.622 3.823 -1.959
Zn -4.399 -0.027 -1.959
Zn -3.111 -0.309 -4.316
Zn -6.221 0.000 0.000
Zn -6.622 1.256 -2.357
Zn -4.399 2.540 -7.261

=====

(2)
20
Lattice="5.693 0.000 0.000 0.000 5.557 0.000 -5.645 0.000 7.961" Properties=species:S:1:pos:R:3 comment="RePbO3, optimized geometry, DFT PBE" energy_ev_per_fu=-36.548 magnetic_moment_mub_per_fu=0.10 pbc="T T T"
O 1.373 1.338 0.189
O 1.470 4.119 0.192
O 3.138 5.529 1.988
O -0.267 2.751 1.992
O 1.401 1.341 3.788
O 1.499 4.116 3.792
O -1.450 1.441 4.169
O -1.352 4.216 4.173
O 0.316 2.806 5.969
O -3.089 0.028 5.973
O -1.421 1.438 7.769
O -1.324 4.219 7.773
Pb 2.852 2.755 1.989
Pb 0.019 5.533 1.992
Pb 0.030 0.024 5.970
Pb -2.803 2.802 5.973
Re 2.847 0.000 0.000
Re 0.000 2.778 0.000
Re -2.822 0.000 3.981
Re 0.024 2.778 3.981

=====

(3)
12
Lattice="0.276 2.510 -6.384 -3.771 -2.973 4.906 -2.895 9.860 3.751" Properties=species:S:1:pos:R:3 comment="ScAgGeTeS2, optimized geometry, DFT PBE" energy_ev_per_fu=-28.847 magnetic_moment_mub_per_fu=0.00 pbc="T T T"
Ag -2.576 2.091 0.492
Ag -3.813 7.306 1.782
Ge -1.281 3.846 -3.121
Ge -5.108 5.551 5.395
S -2.424 -0.348 0.897
S -3.535 3.437 2.337
S -2.854 5.960 -0.063
S -3.966 9.744 1.377
Sc 0.000 0.000 0.000
Sc -1.447 4.930 1.876
Te -3.965 0.209 4.367
Te -2.424 9.188 -2.094

=====

(4)
3
Lattice="-1.025 -5.443 0.502 1.841 -2.777 4.452 -3.600 -1.810 3.833" Properties=species:S:1:pos:R:3 comment="BaErTl, optimized geometry, DFT PBE" relative_energy_mev_per_atom=0 magnetic_moment_mub_per_fu=0.01 pbc="T T T"
Ba -0.696 -2.507 2.197
Er -2.088 -7.522 6.590
Tl 0.000 0.000 0.000

=====

(5)
2
Lattice="-1.685 0.249 -3.176 1.405 -3.147 1.052 -4.857 -1.343 2.472" Properties=species:S:1:pos:R:3 comment="GdEr, optimized geometry, DFT PBE" relative_energy_mev_per_atom=0 formation_enthalpy_0k_mev_per_atom=13 magnetic_moment_mub_per_fu=0.19 pbc="T T T"
Er -4.297 -1.890 0.087
Gd -0.839 -2.351 0.261

=====

(6)
80
Lattice="-6.518 6.518 6.518 6.518 -6.518 6.518 6.518 6.518 -6.518" Properties=species:S:1:pos:R:3 comment="Nd3Sb3Mo2N12, optimized geometry, DFT PBE" energy_ev_per_fu=-152.643 magnetic_moment_mub_per_fu=0.00 pbc="T T T"
Mo 0.000 0.000 0.000
Mo -3.259 3.259 3.259
Mo 3.259 -3.259 3.259
Mo 0.000 0.000 6.518
Mo 3.259 3.259 -3.259
Mo 0.000 6.518 0.000
Mo 6.518 0.000 0.000
Mo 3.259 3.259 3.259
N -0.388 0.717 1.869
N 3.976 -3.647 7.909
N -2.542 3.647 7.909
N 0.388 0.717 8.387
N -0.717 1.869 6.131
N -1.390 2.542 10.165
N 2.872 -1.390 9.060
N 1.869 -0.388 0.717
N 3.647 -1.390 3.976
N 1.869 0.388 5.801
N 0.717 1.869 -0.388
N -1.390 3.976 3.647
N 1.390 2.542 3.647
N 5.801 -1.869 6.131
N -1.869 6.131 5.801
N -3.647 7.909 3.976
N 3.647 1.390 2.542
N 4.649 0.388 7.235
N 0.717 4.649 6.131
N 7.909 -2.542 3.647
N 6.131 -0.717 1.869
N 2.542 2.872 7.909
N 0.388 5.801 1.869
N 2.542 3.647 1.390
N 3.976 2.872 5.128
N 6.131 0.717 4.649
N 3.976 3.647 -1.390
N 0.388 7.235 4.649
N -1.390 9.060 2.872
N 5.801 1.869 0.388
N 1.869 6.131 -0.717
N 2.872 5.128 3.976
N 8.387 0.388 0.717
N 10.165 -1.390 2.542
N 0.717 8.387 0.388
N 5.128 3.976 2.872
N 7.909 2.542 2.872
N 5.801 4.649 6.906
N 4.649 6.131 0.717
N 2.872 7.909 2.542
N 3.647 7.909 -2.542
N 4.649 6.906 5.801
N 7.909 3.976 -3.647
N 7.235 4.649 0.388
N 6.131 5.801 -1.869
N 9.060 2.872 -1.390
N 2.542 10.165 -1.390
N 6.906 5.801 4.649
Nd 1.630 0.000 3.259
Nd 3.259 -1.630 6.518
Nd 0.000 3.259 1.630
Nd 0.000 3.259 8.148
Nd -1.630 6.518 3.259
Nd 3.259 1.630 0.000
Nd 3.259 4.889 6.518
Nd 8.148 0.000 3.259
Nd 6.518 3.259 -1.630
Nd 6.518 3.259 4.889
Nd 3.259 8.148 0.000
Nd 4.889 6.518 3.259
Sb -3.259 4.889 6.518
Sb 1.630 0.000 9.777
Sb 0.000 3.259 4.889
Sb 6.518 -3.259 4.889
Sb 4.889 0.000 3.259
Sb 3.259 1.630 6.518
Sb 3.259 4.889 0.000
Sb 1.630 6.518 3.259
Sb 0.000 9.777 1.630
Sb 6.518 3.259 1.630
Sb 4.889 6.518 -3.259
Sb 9.777 1.630 0.000

=====

(7)
4
Lattice="-0.221 -3.041 3.513 -3.390 0.347 3.167 -3.403 -3.170 0.122" Properties=species:S:1:pos:R:3 comment="LuZn2Si, optimized geometry, DFT PBE" energy_ev_per_fu=-12.867 magnetic_moment_mub_per_fu=0.00 pbc="T T T"
Lu -1.753 -1.466 1.701
Si -3.507 -2.932 3.401
Zn 0.000 0.000 0.000
Zn -5.260 -4.397 5.102

=====

(8)
8
Lattice="-1.084 -2.416 -3.412 -1.150 -1.237 3.975 -14.110 8.404 -1.467" Properties=species:S:1:pos:R:3 comment="CsNdSeS, optimized geometry, DFT PBE" energy_ev_per_fu=-20.295 magnetic_moment_mub_per_fu=0.00 pbc="T T T"
Cs -4.524 0.012 -1.305
Cs -11.821 4.738 0.401
Nd 0.000 0.000 0.000
Nd -7.055 4.202 -0.733
S -2.396 -0.875 1.381
S -13.948 5.626 -2.285
Se -6.778 1.735 0.925
Se -9.566 3.016 -1.829

=====

(9)
3
Lattice="0.246 -4.565 2.582 -0.622 -0.105 5.213 -4.349 -2.076 2.084" Properties=species:S:1:pos:R:3 comment="SrThAg, optimized geometry, DFT PBE" relative_energy_mev_per_atom=0 magnetic_moment_mub_per_fu=0.03 pbc="T T T"
Ag 0.000 0.000 0.000
Sr -1.181 -1.686 2.470
Th -3.544 -5.059 7.409

=====

Calculated volume (computed, A^3/atom): 15.23 12.59 22.98 40.54 31.56 13.85 17.80 33.30 34.12